# 1
The following is a DFT calculation (PBE-GGA) of crystalline Nd2NiP3Rh12 at its relaxed geometry.

Cell lengths 7.0692, 7.0692, 7.0692 Å; angles 73.28, 73.28, 73.28 degrees
Last column: nearest neighbours and their distance in Å.
Atoms (fractional coordinates):
Rh  0.1423  0.6444  0.1423  1 P 2.20, 1 Ni 2.45
Rh  0.9140  0.3324  0.3324  2 P 2.30
P  0.5000  0.0000  0.0000  6 Rh 2.20-2.30
Rh  0.1423  0.1423  0.6444  1 P 2.20, 1 Ni 2.45
Rh  0.6676  0.0860  0.6676  2 P 2.30
Rh  0.6676  0.6676  0.0860  2 P 2.30
Rh  0.3324  0.9140  0.3324  2 P 2.30
Nd  0.3914  0.3914  0.3914  3 Rh 2.75
P  0.0000  0.0000  0.5000  6 Rh 2.20-2.30
Rh  0.3324  0.3324  0.9140  2 P 2.30
Ni  0.0000  0.0000  0.0000  6 Rh 2.45
Rh  0.0860  0.6676  0.6676  2 P 2.30
Rh  0.6444  0.1423  0.1423  1 P 2.20, 1 Ni 2.45
Rh  0.8577  0.3556  0.8577  1 P 2.20, 1 Ni 2.45
Rh  0.3556  0.8577  0.8577  1 P 2.20, 1 Ni 2.45
P  0.0000  0.5000  0.0000  6 Rh 2.20-2.30
Nd  0.6086  0.6086  0.6086  3 Rh 2.75
Rh  0.8577  0.8577  0.3556  1 P 2.20, 1 Ni 2.45

## Properties
The density of states at the Fermi level is 16.3 states/eV/cell. The space group is R-3m. The value obtained for the formation energy is -298 kJ/mol of formula units. For the total moment, the calculation gives 1.0 μB per formula unit.



# 2
The following is a DFT calculation (PBE-GGA) of crystalline NdNiP2Rh2 at its relaxed geometry.

Cell lengths 4.2971, 4.2971, 5.4927 Å; angles 90.00, 90.00, 90.00 degrees
Last column: nearest neighbours and their distance in Å.
Atoms (fractional coordinates):
Nd  0.0000  0.0000  0.5000  2 Ni 2.75
Rh  0.5000  0.5000  0.2465  4 P 2.54, 2 Rh 2.71-2.79
Rh  0.5000  0.5000  0.7535  4 P 2.54, 2 Rh 2.71-2.79
Ni  0.0000  0.0000  0.0000  4 P 2.15
P  0.0000  0.5000  0.0000  2 Ni 2.15
P  0.5000  0.0000  0.0000  2 Ni 2.15

## Properties
The density of states at the Fermi level is 4.2 states/eV/cell. The space group is P4/mmm. The value obtained for the formation energy is -261 kJ/mol of formula units. For the total moment, the calculation gives 0.0 μB per formula unit.



# 3
The following is a DFT calculation (PBE-GGA) of crystalline Nd2Ni12P3Rh at its relaxed geometry.

Cell lengths 7.1489, 7.1489, 7.1489 Å; angles 65.00, 65.00, 65.00 degrees
Last column: nearest neighbours and their distance in Å.
Atoms (fractional coordinates):
Ni  0.6608  0.6608  0.1012  2 P 2.14
Ni  0.8728  0.8728  0.3799  1 P 2.10
Ni  0.8988  0.3392  0.3392  2 P 2.14
Nd  0.6111  0.6111  0.6111  6 Ni 2.73-2.87
P  0.0000  0.5000  0.0000  6 Ni 2.10-2.14
P  0.0000  0.0000  0.5000  6 Ni 2.10-2.14
P  0.5000  0.0000  0.0000  6 Ni 2.10-2.14
Ni  0.6608  0.1012  0.6608  2 P 2.14
Ni  0.8728  0.3799  0.8728  1 P 2.10
Ni  0.3392  0.8988  0.3392  2 P 2.14
Rh  0.0000  0.0000  0.0000  6 Ni 2.36
Ni  0.1012  0.6608  0.6608  2 P 2.14
Nd  0.3889  0.3889  0.3889  6 Ni 2.73-2.87
Ni  0.1272  0.6201  0.1272  1 P 2.10
Ni  0.6201  0.1272  0.1272  1 P 2.10
Ni  0.3392  0.3392  0.8988  2 P 2.14
Ni  0.1272  0.1272  0.6201  1 P 2.10
Ni  0.3799  0.8728  0.8728  1 P 2.10

## Properties
The density of states at the Fermi level is 13.0 states/eV/cell. The space group is R-3m. The value obtained for the formation energy is 42 kJ/mol of formula units. For the total moment, the calculation gives 0.0 μB per formula unit.



# 4
The following is a DFT calculation (PBE-GGA) of crystalline Nd2Ni4P3Rh at its relaxed geometry.

Cell lengths 3.9664, 3.9664, 9.7562 Å; angles 90.00, 90.00, 90.00 degrees
Last column: nearest neighbours and their distance in Å.
Atoms (fractional coordinates):
Rh  0.5000  0.5000  0.5000  4 Ni 2.44
Ni  0.5000  0.5000  0.0000  4 P 2.32
Nd  0.0000  0.5000  0.7524  8 Ni 2.99-3.13, 6 P 3.05-3.16, 2 Rh 3.16
Ni  0.0000  0.0000  0.0000  4 P 2.32
P  0.0000  0.5000  0.1239  5 Ni 2.24-2.32
Ni  0.5000  0.0000  0.6461  3 P 2.24-2.44, 2 Rh 2.44
P  0.0000  0.0000  0.5000  4 Ni 2.44
Nd  0.5000  0.0000  0.2476  8 Ni 2.99-3.13, 6 P 3.05-3.16, 2 Rh 3.16
P  0.5000  0.0000  0.8761  5 Ni 2.24-2.32
Ni  0.0000  0.5000  0.3539  3 P 2.24-2.44, 2 Rh 2.44

## Properties
The density of states at the Fermi level is 8.4 states/eV/cell. The space group is P-4m2. The value obtained for the formation energy is -788 kJ/mol of formula units. For the total moment, the calculation gives 0.0 μB per formula unit.



# 5
The following is a DFT calculation (PBE-GGA) of crystalline Nd2Ni3P4Ru at its relaxed geometry.

Cell lengths 4.0438, 4.0438, 9.4282 Å; angles 90.00, 90.00, 90.00 degrees
Last column: nearest neighbours and their distance in Å.
Atoms (fractional coordinates):
P  0.0000  0.0000  0.0000  4 Ni 2.29
Nd  0.0000  0.5000  0.7600  8 P 3.03-3.09, 7 Ni 3.10-3.33, 2 Ru 3.18
Ni  0.5000  0.0000  0.8863  5 P 2.29-2.35
P  0.0000  0.5000  0.3633  3 Ni 2.35-2.40, 2 Ru 2.40
P  0.5000  0.5000  0.0000  4 Ni 2.29
Nd  0.5000  0.0000  0.2400  8 P 3.03-3.09, 7 Ni 3.10-3.33, 2 Ru 3.18
P  0.5000  0.0000  0.6367  3 Ni 2.35-2.40, 2 Ru 2.40
Ni  0.0000  0.5000  0.1137  5 P 2.29-2.35
Ru  0.5000  0.5000  0.5000  4 P 2.40
Ni  0.0000  0.0000  0.5000  4 P 2.40

## Properties
The density of states at the Fermi level is 5.4 states/eV/cell. The space group is P-4m2. The value obtained for the formation energy is -928 kJ/mol of formula units. For the total moment, the calculation gives 0.0 μB per formula unit.



# 6
The following is a DFT calculation (PBE-GGA) of crystalline Nd2Ni4SbP3 at its relaxed geometry.

Cell lengths 4.1048, 4.1048, 9.6776 Å; angles 90.00, 90.00, 90.00 degrees
Last column: nearest neighbours and their distance in Å.
Atoms (fractional coordinates):
Ni  0.0000  0.0000  0.0000  4 P 2.37
Ni  0.5000  0.5000  0.0000  4 P 2.37
Nd  0.0000  0.5000  0.7677  8 Ni 3.04-3.15, 6 P 3.09-3.31, 2 Sb 3.31
P  0.0000  0.5000  0.1223  5 Ni 2.28-2.37
Sb  0.5000  0.5000  0.5000  4 Ni 2.47
P  0.0000  0.0000  0.5000  4 Ni 2.47
P  0.5000  0.0000  0.8777  5 Ni 2.28-2.37
Nd  0.5000  0.0000  0.2323  8 Ni 3.04-3.15, 6 P 3.09-3.31, 2 Sb 3.31
Ni  0.5000  0.0000  0.6421  3 P 2.28-2.47, 2 Sb 2.47
Ni  0.0000  0.5000  0.3579  3 P 2.28-2.47, 2 Sb 2.47

## Properties
The density of states at the Fermi level is 4.3 states/eV/cell. The space group is P-4m2. The value obtained for the uncorrected formation energy is -823 meV/atom. For the total moment, the calculation gives 0.0 μB per formula unit.



# 7
The following is a DFT calculation (PBE-GGA) of crystalline Nd2Ni4Sb3P at its relaxed geometry.

Cell lengths 4.3897, 4.3897, 9.8265 Å; angles 90.00, 90.00, 90.00 degrees
Last column: nearest neighbours and their distance in Å.
Atoms (fractional coordinates):
Ni  0.0000  0.0000  0.0000  4 Sb 2.55
Sb  0.0000  0.0000  0.5000  4 Ni 2.45
Nd  0.0000  0.5000  0.7457  2 P 3.26, 6 Sb 3.26-3.33, 9 Ni 3.33-3.49
Ni  0.0000  0.5000  0.3901  3 Sb 2.45-2.54, 2 P 2.45
Sb  0.5000  0.0000  0.8682  5 Ni 2.54-2.55
Sb  0.0000  0.5000  0.1318  5 Ni 2.54-2.55
Ni  0.5000  0.0000  0.6099  3 Sb 2.45-2.54, 2 P 2.45
Ni  0.5000  0.5000  0.0000  4 Sb 2.55
P  0.5000  0.5000  0.5000  4 Ni 2.45
Nd  0.5000  0.0000  0.2543  6 Sb 3.26-3.33, 2 P 3.26, 9 Ni 3.33-3.49

## Properties
The density of states at the Fermi level is 3.7 states/eV/cell. The space group is P-4m2. The value obtained for the uncorrected formation energy is -682 meV/atom. For the total moment, the calculation gives 0.0 μB per formula unit.



# 8
The following is a DFT calculation (PBE-GGA) of crystalline NdNi4SbP2 at its relaxed geometry.

Cell lengths 4.0011, 4.0011, 7.7606 Å; angles 90.00, 90.00, 90.00 degrees
Last column: nearest neighbours and their distance in Å.
Atoms (fractional coordinates):
Ni  0.0000  0.5000  0.7933  2 P 2.26
P  0.5000  0.5000  0.6576  4 Ni 2.26, 1 P 2.45
P  0.5000  0.5000  0.3424  4 Ni 2.26, 1 P 2.45
Sb  0.0000  0.0000  0.0000  8 Ni 2.56
Ni  0.0000  0.5000  0.2067  2 P 2.26
Ni  0.5000  0.0000  0.7933  2 P 2.26
Nd  0.0000  0.0000  0.5000  8 Ni 3.03, 8 P 3.08
Ni  0.5000  0.0000  0.2067  2 P 2.26

## Properties
The density of states at the Fermi level is 4.3 states/eV/cell. The space group is P4/mmm. The value obtained for the uncorrected formation energy is -641 meV/atom. For the total moment, the calculation gives 0.0 μB per formula unit.



# 9
The following is a DFT calculation (PBE-GGA) of crystalline NdScNi2P2 at its relaxed geometry.

Cell lengths 3.8892, 3.8892, 7.5829 Å; angles 90.00, 90.00, 120.00 degrees
Last column: nearest neighbours and their distance in Å.
Atoms (fractional coordinates):
Ni  0.3333  0.6667  0.7242  3 P 2.25
Sc  0.0000  0.0000  0.5000  6 Ni 2.82, 6 P 2.84
Ni  0.6667  0.3333  0.2758  3 P 2.25
P  0.6667  0.3333  0.7287  3 Ni 2.25
P  0.3333  0.6667  0.2713  3 Ni 2.25
Nd  0.0000  0.0000  0.0000  6 P 3.05, 6 Ni 3.07

## Properties
The density of states at the Fermi level is 2.8 states/eV/cell. The space group is P-3m1. The value obtained for the formation energy is -667 kJ/mol of formula units. For the total moment, the calculation gives 0.0 μB per formula unit.



# 10
The following is a DFT calculation (PBE-GGA) of crystalline Nd2TcNi3P4 at its relaxed geometry.

Cell lengths 4.0525, 4.0525, 9.4529 Å; angles 90.00, 90.00, 90.00 degrees
Last column: nearest neighbours and their distance in Å.
Atoms (fractional coordinates):
Nd  0.0000  0.5000  0.7635  8 P 3.02-3.11, 7 Ni 3.10-3.30, 2 Tc 3.21
P  0.5000  0.0000  0.6360  3 Ni 2.38-2.40, 2 Tc 2.40
Ni  0.5000  0.0000  0.8875  5 P 2.29-2.38
Ni  0.0000  0.0000  0.5000  4 P 2.40
Tc  0.5000  0.5000  0.5000  4 P 2.40
P  0.0000  0.0000  0.0000  4 Ni 2.29
P  0.5000  0.5000  0.0000  4 Ni 2.29
P  0.0000  0.5000  0.3640  3 Ni 2.38-2.40, 2 Tc 2.40
Nd  0.5000  0.0000  0.2365  8 P 3.02-3.11, 7 Ni 3.10-3.30, 2 Tc 3.21
Ni  0.0000  0.5000  0.1125  5 P 2.29-2.38

## Properties
The density of states at the Fermi level is 4.4 states/eV/cell. The space group is P-4m2. The value obtained for the formation energy is -908 kJ/mol of formula units. For the total moment, the calculation gives 0.0 μB per formula unit.



# 11
The following is a DFT calculation (PBE-GGA) of crystalline NdTmNi2P2 at its relaxed geometry.

Cell lengths 3.9095, 3.9095, 7.8736 Å; angles 90.00, 90.00, 120.00 degrees
Last column: nearest neighbours and their distance in Å.
Atoms (fractional coordinates):
Nd  0.0000  0.0000  0.0000  6 Ni 3.05, 6 P 3.06
Tm  0.0000  0.0000  0.5000  6 P 2.93, 6 Ni 2.94
P  0.6667  0.3333  0.7371  3 Ni 2.26
Ni  0.3333  0.6667  0.7392  3 P 2.26
Ni  0.6667  0.3333  0.2608  3 P 2.26
P  0.3333  0.6667  0.2629  3 Ni 2.26

## Properties
The density of states at the Fermi level is 2.8 states/eV/cell. The space group is P-3m1. The value obtained for the formation energy is -688 kJ/mol of formula units. For the total moment, the calculation gives 0.0 μB per formula unit.